#one
This record from Alexandria describes a geometry-optimized UBiPb2 structure. The functional is PBE.

Computed properties:
**Spin magnetization**: 2.707 Bohr magnetons per cell

Cell lengths 12.273, 12.273, 12.273 Å; angles 15.69, 15.69, 15.69 degrees
Sites, in units of the cell vectors:
U  0.000  0.000  0.000
Bi  0.500  0.500  0.500
Pb  0.411  0.411  0.411
Pb  0.589  0.589  0.589

#two
This record from Alexandria describes a geometry-optimized UBiPb2 structure. The functional is PBE.

Computed properties:
**Spin magnetization**: 2.538 Bohr magnetons per cell

Cell lengths 4.736, 4.736, 5.083 Å; angles 90.00, 90.00, 90.00 degrees
Sites, in units of the cell vectors:
U  0.000  0.000  0.000
Bi  0.500  0.500  0.000
Pb  0.000  0.500  0.500
Pb  0.500  0.000  0.500

Energy comparison, zero being the most stable, in meV/atom: #one 125; #two 0.

#one
This record from Alexandria describes a geometry-optimized V2BiPb structure. The functional is PBE.

Computed properties:
**Spin magnetization**: 9.561 Bohr magnetons per cell

Cell lengths 6.304, 6.304, 6.304 Å; angles 105.03, 105.03, 118.77 degrees
Sites, in units of the cell vectors:
V  0.122  0.625  0.997
V  0.375  0.372  0.497
V  0.628  0.125  0.003
V  0.875  0.878  0.503
Bi  0.000  0.000  0.000
Bi  0.750  0.250  0.500
Pb  0.250  0.750  0.500
Pb  0.500  0.500  0.000

#two
This record from Alexandria describes a geometry-optimized V2BiPb structure. The functional is PBE.

Computed properties:
**Spin magnetization**: 0.000 Bohr magnetons per cell

Cell lengths 4.803, 4.803, 4.803 Å; angles 60.00, 60.00, 60.00 degrees
Sites, in units of the cell vectors:
V  0.250  0.250  0.250
V  0.750  0.750  0.750
Bi  0.000  0.000  0.000
Pb  0.500  0.500  0.500

Energy comparison, zero being the most stable, in meV/atom: #one 205; #two 0.

#one
This record from Alexandria describes a geometry-optimized V2BiPb2 structure. The functional is PBE.

Computed properties:
**Spin magnetization**: 0.000 Bohr magnetons per cell

Cell lengths 11.100, 11.100, 11.100 Å; angles 162.51, 162.51, 24.83 degrees
Sites, in units of the cell vectors:
V  0.250  0.750  0.500
V  0.750  0.250  0.500
Bi  0.000  0.000  0.000
Pb  0.368  0.368  0.000
Pb  0.632  0.632  0.000

#two
This record from Alexandria describes a geometry-optimized V2BiPb2 structure. The functional is PBE.

Computed properties:
**Spin magnetization**: 0.000 Bohr magnetons per cell

Cell lengths 8.742, 8.742, 3.264 Å; angles 90.00, 90.00, 90.00 degrees
Sites, in units of the cell vectors:
V  0.078  0.422  0.000
V  0.422  0.922  0.000
V  0.578  0.078  0.000
V  0.922  0.578  0.000
Bi  0.000  0.000  0.500
Bi  0.500  0.500  0.500
Pb  0.196  0.696  0.500
Pb  0.304  0.196  0.500
Pb  0.696  0.804  0.500
Pb  0.804  0.304  0.500

Energy comparison, zero being the most stable, in meV/atom: #one 0; #two 125.

#one
This record from Alexandria describes a geometry-optimized Bi3PbW structure. The functional is PBE.

Computed properties:
**Spin magnetization**: 0.652 Bohr magnetons per cell

Cell lengths 5.456, 5.456, 5.456 Å; angles 90.00, 90.00, 90.00 degrees
Sites, in units of the cell vectors:
Bi  0.000  0.000  0.500
Bi  0.000  0.500  0.000
Bi  0.500  0.000  0.000
Pb  0.500  0.500  0.500
W  0.000  0.000  0.000

#two
This record from Alexandria describes a geometry-optimized Bi3PbW structure. The functional is PBE.

Computed properties:
**Spin magnetization**: 0.235 Bohr magnetons per cell

Cell lengths 5.748, 5.748, 5.748 Å; angles 90.00, 90.00, 90.00 degrees
Sites, in units of the cell vectors:
Bi  0.000  0.000  0.500
Bi  0.000  0.500  0.000
Bi  0.500  0.000  0.000
Pb  0.000  0.000  0.000
W  0.500  0.500  0.500

Energy comparison, zero being the most stable, in meV/atom: #one 0; #two 1441.

#one
This record from Alexandria describes a geometry-optimized ZrBi2PbW structure. The functional is PBE.

Computed properties:
**Spin magnetization**: 0.000 Bohr magnetons per cell

Cell lengths 5.383, 5.383, 5.223 Å; angles 90.00, 90.00, 90.00 degrees
Sites, in units of the cell vectors:
Zr  0.000  0.000  0.000
Bi  0.000  0.500  0.500
Bi  0.500  0.000  0.500
Pb  0.500  0.500  0.000
W  0.000  0.000  0.500

#two
This record from Alexandria describes a geometry-optimized ZrBi2PbW structure. The functional is PBE.

Computed properties:
**Spin magnetization**: 2.167 Bohr magnetons per cell

Cell lengths 5.401, 5.401, 5.383 Å; angles 90.00, 90.00, 90.00 degrees
Sites, in units of the cell vectors:
Zr  0.000  0.000  0.000
Bi  0.000  0.500  0.500
Bi  0.500  0.000  0.500
Pb  0.500  0.500  0.000
W  0.500  0.500  0.500

Energy comparison, zero being the most stable, in meV/atom: #one 0; #two 395.

#one
This record from Alexandria describes a geometry-optimized Y2Bi2Pb structure. The functional is PBE.

Computed properties:
**Spin magnetization**: 0.000 Bohr magnetons per cell

Cell lengths 6.419, 6.419, 6.419 Å; angles 124.68, 124.68, 82.08 degrees
Sites, in units of the cell vectors:
Y  0.250  0.750  0.500
Y  0.750  0.250  0.500
Bi  0.162  0.162  0.000
Bi  0.838  0.838  0.000
Pb  0.500  0.500  0.000

#two
This record from Alexandria describes a geometry-optimized Y2Bi2Pb structure. The functional is PBE.

Computed properties:
**Spin magnetization**: 0.000 Bohr magnetons per cell

Cell lengths 8.655, 8.655, 4.145 Å; angles 90.00, 90.00, 90.00 degrees
Sites, in units of the cell vectors:
Y  0.151  0.349  0.000
Y  0.349  0.849  0.000
Y  0.651  0.151  0.000
Y  0.849  0.651  0.000
Bi  0.149  0.649  0.500
Bi  0.351  0.149  0.500
Bi  0.649  0.851  0.500
Bi  0.851  0.351  0.500
Pb  0.000  0.000  0.500
Pb  0.500  0.500  0.500

Energy comparison, zero being the most stable, in meV/atom: #one 223; #two 0.

#one
This record from Alexandria describes a geometry-optimized YBiPb3 structure. The functional is PBE.

Computed properties:
**Spin magnetization**: 0.000 Bohr magnetons per cell

Cell lengths 5.922, 5.922, 5.922 Å; angles 90.00, 90.00, 90.00 degrees
Sites, in units of the cell vectors:
Y  0.000  0.000  0.000
Bi  0.500  0.500  0.500
Pb  0.000  0.500  0.500
Pb  0.500  0.000  0.500
Pb  0.500  0.500  0.000

#two
This record from Alexandria describes a geometry-optimized YBiPb3 structure. The functional is PBE.

Computed properties:
**Spin magnetization**: 0.000 Bohr magnetons per cell

Cell lengths 5.871, 5.871, 5.871 Å; angles 90.00, 90.00, 90.00 degrees
Sites, in units of the cell vectors:
Y  0.000  0.000  0.000
Bi  0.500  0.500  0.500
Pb  0.000  0.000  0.500
Pb  0.000  0.500  0.000
Pb  0.500  0.000  0.000

Energy comparison, zero being the most stable, in meV/atom: #one 142; #two 0.

#one
This record from Alexandria describes a geometry-optimized YBiPb structure. The functional is PBE.

Computed properties:
**Spin magnetization**: 0.173 Bohr magnetons per cell

Cell lengths 5.592, 5.592, 3.378 Å; angles 90.00, 90.00, 120.00 degrees
Sites, in units of the cell vectors:
Y  0.000  0.000  0.000
Bi  0.333  0.667  0.491
Pb  0.667  0.333  0.513

#two
This record from Alexandria describes a geometry-optimized YBiPb structure. The functional is PBE.

Computed properties:
**Spin magnetization**: 0.040 Bohr magnetons per cell

Cell lengths 8.805, 8.805, 8.805 Å; angles 157.41, 157.41, 32.15 degrees
Sites, in units of the cell vectors:
Y  0.000  0.000  0.000
Bi  0.188  0.188  0.000
Pb  0.375  0.375  0.000

Energy comparison, zero being the most stable, in meV/atom: #one 0; #two 234.

#one
This record from Alexandria describes a geometry-optimized YBi3Pb structure. The functional is PBE.

Computed properties:
**Spin magnetization**: 0.000 Bohr magnetons per cell

Cell lengths 10.270, 6.160, 10.474 Å; angles 90.00, 90.00, 90.00 degrees
Sites, in units of the cell vectors:
Y  0.119  0.001  0.250
Y  0.119  0.499  0.750
Y  0.881  0.501  0.250
Y  0.881  0.999  0.750
Bi  0.038  0.750  0.000
Bi  0.038  0.750  0.500
Bi  0.216  0.006  0.750
Bi  0.216  0.494  0.250
Bi  0.430  0.599  0.750
Bi  0.430  0.901  0.250
Bi  0.570  0.099  0.750
Bi  0.570  0.401  0.250
Bi  0.784  0.506  0.750
Bi  0.784  0.994  0.250
Bi  0.962  0.250  0.000
Bi  0.962  0.250  0.500
Pb  0.365  0.250  0.000
Pb  0.365  0.250  0.500
Pb  0.635  0.750  0.000
Pb  0.635  0.750  0.500

#two
This record from Alexandria describes a geometry-optimized YBi3Pb structure. The functional is PBE.

Computed properties:
**Spin magnetization**: 0.000 Bohr magnetons per cell

Cell lengths 5.883, 5.883, 5.883 Å; angles 90.00, 90.00, 90.00 degrees
Sites, in units of the cell vectors:
Y  0.000  0.000  0.000
Bi  0.000  0.000  0.500
Bi  0.000  0.500  0.000
Bi  0.500  0.000  0.000
Pb  0.500  0.500  0.500

#three
This record from Alexandria describes a geometry-optimized YBi3Pb structure. The functional is PBE.

Computed properties:
**Spin magnetization**: 0.000 Bohr magnetons per cell

Cell lengths 5.835, 5.835, 5.835 Å; angles 90.00, 90.00, 90.00 degrees
Sites, in units of the cell vectors:
Y  0.000  0.000  0.000
Bi  0.000  0.500  0.500
Bi  0.500  0.000  0.500
Bi  0.500  0.500  0.000
Pb  0.500  0.500  0.500

Energy comparison, zero being the most stable, in meV/atom: #one 0; #two 505; #three 840.

#one
This record from Alexandria describes a geometry-optimized Y2BiPb2 structure. The functional is PBE.

Computed properties:
**Spin magnetization**: 0.000 Bohr magnetons per cell

Cell lengths 6.355, 6.355, 6.355 Å; angles 123.67, 123.67, 83.76 degrees
Sites, in units of the cell vectors:
Y  0.250  0.750  0.500
Y  0.750  0.250  0.500
Bi  0.000  0.000  0.000
Pb  0.335  0.335  0.000
Pb  0.665  0.665  0.000

#two
This record from Alexandria describes a geometry-optimized Y2BiPb2 structure. The functional is PBE.

Computed properties:
**Spin magnetization**: 0.000 Bohr magnetons per cell

Cell lengths 8.310, 8.310, 4.376 Å; angles 90.00, 90.00, 90.00 degrees
Sites, in units of the cell vectors:
Y  0.170  0.330  0.000
Y  0.330  0.830  0.000
Y  0.670  0.170  0.000
Y  0.830  0.670  0.000
Bi  0.000  0.000  0.500
Bi  0.500  0.500  0.500
Pb  0.133  0.633  0.500
Pb  0.367  0.133  0.500
Pb  0.633  0.867  0.500
Pb  0.867  0.367  0.500

#three
This record from Alexandria describes a geometry-optimized Y2BiPb2 structure. The functional is PBE.

Computed properties:
**Spin magnetization**: 0.000 Bohr magnetons per cell

Cell lengths 8.174, 8.174, 4.630 Å; angles 90.00, 90.00, 90.00 degrees
Sites, in units of the cell vectors:
Y  0.166  0.334  0.000
Y  0.334  0.834  0.000
Y  0.666  0.166  0.000
Y  0.834  0.666  0.000
Bi  0.000  0.000  0.000
Bi  0.500  0.500  0.000
Pb  0.138  0.638  0.500
Pb  0.362  0.138  0.500
Pb  0.638  0.862  0.500
Pb  0.862  0.362  0.500

Energy comparison, zero being the most stable, in meV/atom: #one 346; #two 61; #three 0.

#one
This record from Alexandria describes a geometry-optimized Y3BiPb structure. The functional is PBE.

Computed properties:
**Spin magnetization**: 0.000 Bohr magnetons per cell

Cell lengths 5.749, 5.749, 5.749 Å; angles 90.00, 90.00, 90.00 degrees
Sites, in units of the cell vectors:
Y  0.000  0.000  0.500
Y  0.000  0.500  0.000
Y  0.500  0.000  0.000
Bi  0.000  0.000  0.000
Pb  0.500  0.500  0.500

#two
This record from Alexandria describes a geometry-optimized Y3BiPb structure. The functional is PBE.

Computed properties:
**Spin magnetization**: 0.000 Bohr magnetons per cell

Cell lengths 10.780, 10.780, 6.504 Å; angles 107.46, 107.46, 25.44 degrees
Sites, in units of the cell vectors:
Y  0.000  0.000  0.242
Y  0.000  0.000  0.758
Y  0.198  0.198  0.197
Y  0.398  0.398  0.399
Y  0.602  0.602  0.601
Y  0.802  0.802  0.803
Bi  0.408  0.408  0.909
Bi  0.592  0.592  0.091
Pb  0.195  0.195  0.694
Pb  0.805  0.805  0.306

Energy comparison, zero being the most stable, in meV/atom: #one 590; #two 0.

#one
This record from Alexandria describes a geometry-optimized ZnBiPb structure. The functional is PBE.

Computed properties:
**Spin magnetization**: 0.000 Bohr magnetons per cell

Cell lengths 5.000, 5.000, 5.000 Å; angles 60.00, 60.00, 60.00 degrees
Sites, in units of the cell vectors:
Zn  0.000  0.000  0.000
Bi  0.750  0.750  0.750
Pb  0.250  0.250  0.250

#two
This record from Alexandria describes a geometry-optimized ZnBiPb structure. The functional is PBE.

Computed properties:
**Spin magnetization**: 0.000 Bohr magnetons per cell

Cell lengths 7.768, 5.682, 7.678 Å; angles 90.00, 90.00, 90.00 degrees
Sites, in units of the cell vectors:
Zn  0.139  0.250  0.033
Zn  0.361  0.750  0.533
Zn  0.639  0.250  0.467
Zn  0.861  0.750  0.967
Bi  0.237  0.750  0.884
Bi  0.263  0.250  0.384
Bi  0.737  0.750  0.616
Bi  0.763  0.250  0.116
Pb  0.034  0.750  0.314
Pb  0.466  0.250  0.814
Pb  0.534  0.750  0.186
Pb  0.966  0.250  0.686

#three
This record from Alexandria describes a geometry-optimized ZnBiPb structure. The functional is PBE.

Computed properties:
**Spin magnetization**: 0.000 Bohr magnetons per cell

Cell lengths 4.412, 4.412, 5.098 Å; angles 90.00, 90.00, 120.00 degrees
Sites, in units of the cell vectors:
Zn  0.000  0.000  0.000
Bi  0.333  0.667  0.761
Pb  0.667  0.333  0.310

Energy comparison, zero being the most stable, in meV/atom: #one 0; #two 12; #three 51.